Rb2Na16Sr | PBE | relaxed

Computed properties:
Theoretical density in g cm⁻³: 1.2
Formation enthalpy at 0 K in meV/atom: 25.5

a b c (Å): 12.4890 12.4890 18.5566
angles (deg): 90.00 90.00 120.00
Closest atoms and distances in Å follow each position.
Space group R3m (No. 160, hexagonal axes)
Inequivalent atoms, fractional coordinates:
Rb: 0.0000 0.0000 0.0000 [3 per cell]  18 Na 4.43-4.93, 1 Sr 4.64
Rb: 0.0000 0.0000 0.3144 [3 per cell]  19 Na 4.35-4.84
Na: 0.0000 0.0000 0.5486 [3 per cell]  6 Na 3.68-3.84, 1 Sr 3.74
Na: 0.0078 0.5039 0.1571 [9 per cell]  9 Na 3.56-3.68, 1 Sr 3.94
Na: 0.0390 0.3716 0.3226 [18 per cell]  8 Na 3.60-3.87
Na: 0.1674 0.3348 0.8380 [9 per cell]  8 Na 3.65-3.87, 1 Sr 3.97
Na: 0.1676 0.3352 0.1417 [9 per cell]  9 Na 3.56-3.85
Sr: 0.0000 0.0000 0.7500 [3 per cell]  13 Na 3.74-4.07

***

Co2PPt | PBE | relaxed

Computed properties:
Theoretical density in g cm⁻³: 11.7
Formation enthalpy at 0 K in meV/atom: -14.7

a b c (Å): 5.0205 6.9412 2.8063
angles (deg): 90.00 90.00 90.00
Closest atoms and distances in Å follow each position.
Space group Cmmm (No. 65)
Inequivalent atoms, fractional coordinates:
Co: 0.2500 0.2500 0.0000 [4 per cell]  4 Co 2.51-2.81, 4 Pt 2.56, 4 P 2.56
P: 0.0000 0.0000 0.5000 [2 per cell]  2 Pt 2.51, 8 Co 2.56, 2 P 2.81
Pt: 0.0000 0.5000 0.5000 [2 per cell]  2 P 2.51, 8 Co 2.56, 2 Pt 2.81

***

TbSm6Sc6 | PBE | relaxed

Computed properties:
Theoretical density in g cm⁻³: 5.6
Formation enthalpy at 0 K in meV/atom: 223.9

a b c (Å): 6.4685 6.4685 10.9563
angles (deg): 90.00 90.00 120.00
Closest atoms and distances in Å follow each position.
Space group P6/mmm (No. 191)
Inequivalent atoms, fractional coordinates:
Tb: 0.0000 0.0000 0.0000 [1 per cell]  8 Sm 3.68-3.73
Sm: 0.0000 0.0000 0.3356 [2 per cell]  6 Sc 3.39, 1 Sm 3.60, 1 Tb 3.68
Sm: 0.3333 0.6667 0.0000 [2 per cell]  6 Sc 3.26
Sm: 0.3333 0.6667 0.5000 [2 per cell]  6 Sc 3.37, 3 Sm 3.73
Sc: 0.0000 0.5000 0.2438 [6 per cell]  4 Sc 3.23, 6 Sm 3.26-3.39